No. 1
The following is a GGA-PBE calculation of a geometry-optimized Pr2ScTl structure, from Alexandria. Values from VASP.

Values from the calculation:
total magnetization = 0.00 μB per atom
DFT formation energy = -0.46 eV per formula unit
energy above the most stable polymorph in this dataset = 0.182 eV per formula unit
theoretical density = 7.32 g cm⁻³

```
&SYSTEM
  ibrav = 0, nat = 4, ntyp = 3
/
ATOMIC_SPECIES
Pr 140.91 Pr.upf
Sc 44.96 Sc.upf
Tl 204.38 Tl.upf
CELL_PARAMETERS angstrom
5.6442 0.0000 0.0000
0.0000 5.6442 0.0000
0.0000 0.0000 3.7805
ATOMIC_POSITIONS crystal
Pr 0.0000 0.5000 0.0000
Pr 0.5000 0.0000 0.0000
Sc 0.0000 0.0000 0.5000
Tl 0.5000 0.5000 0.5000
```

***

No. 2
The following is a GGA-PBE calculation of a geometry-optimized Be4TcAg structure, from Alexandria. Values from VASP.

Values from the calculation:
total magnetization = 0.00 μB per atom
DFT formation energy = 0.27 eV per formula unit
theoretical density = 6.39 g cm⁻³

```
&SYSTEM
  ibrav = 0, nat = 6, ntyp = 3
/
ATOMIC_SPECIES
Be 9.01 Be.upf
Tc 98.00 Tc.upf
Ag 107.87 Ag.upf
CELL_PARAMETERS angstrom
0.0000 3.1556 3.1556
3.1556 0.0000 3.1556
3.1556 3.1556 0.0000
ATOMIC_POSITIONS crystal
Be 0.1228 0.1228 0.1228
Be 0.1228 0.1228 0.6317
Be 0.1228 0.6317 0.1228
Be 0.6317 0.1228 0.1228
Tc 0.7500 0.7500 0.7500
Ag 0.5000 0.5000 0.5000
```

***

No. 3
The following is a GGA-PBE calculation of a geometry-optimized CaRh2 structure, from Alexandria. Values from VASP.

Values from the calculation:
total magnetization = 0.00 μB per atom
DFT formation energy = 0.16 eV per formula unit
theoretical density = 7.75 g cm⁻³

```
&SYSTEM
  ibrav = 0, nat = 6, ntyp = 2
/
ATOMIC_SPECIES
Ca 40.08 Ca.upf
Rh 102.91 Rh.upf
CELL_PARAMETERS angstrom
4.6412 0.0000 0.0000
-2.3206 4.0194 0.0000
0.0000 0.0000 5.6453
ATOMIC_POSITIONS crystal
Ca 0.3333 0.6667 0.2500
Ca 0.6667 0.3333 0.7500
Rh 0.0000 0.0000 0.0000
Rh 0.0000 0.0000 0.5000
Rh 0.3333 0.6667 0.7500
Rh 0.6667 0.3333 0.2500
```

***

No. 4
The following is a GGA-PBE calculation of a geometry-optimized HfZr2Sc2 structure, from Alexandria. Values from VASP.

Values from the calculation:
total magnetization = 0.00 μB per atom
DFT formation energy = 1.05 eV per formula unit
energy above the most stable polymorph in this dataset = 0.853 eV per formula unit
theoretical density = 6.45 g cm⁻³

```
&SYSTEM
  ibrav = 0, nat = 10, ntyp = 3
/
ATOMIC_SPECIES
Hf 178.49 Hf.upf
Zr 91.22 Zr.upf
Sc 44.96 Sc.upf
CELL_PARAMETERS angstrom
8.0876 0.0000 0.0000
0.0000 8.0876 0.0000
0.0000 0.0000 3.5515
ATOMIC_POSITIONS crystal
Hf 0.0000 0.0000 0.0000
Hf 0.5000 0.5000 0.0000
Zr 0.1330 0.3670 0.0000
Zr 0.3670 0.8670 0.0000
Zr 0.6330 0.1330 0.0000
Zr 0.8670 0.6330 0.0000
Sc 0.1650 0.6650 0.5000
Sc 0.3350 0.1650 0.5000
Sc 0.6650 0.8350 0.5000
Sc 0.8350 0.3350 0.5000
```

***

No. 5
The following is a GGA-PBE calculation of a geometry-optimized TlCrCl structure, from Alexandria. Values from VASP.

Values from the calculation:
total magnetization = 1.70 μB per atom
energy above the most stable polymorph in this dataset = 0.888 eV per formula unit
formation energy without anion corrections = 0.28 eV/atom
theoretical density = 5.93 g cm⁻³

```
&SYSTEM
  ibrav = 0, nat = 3, ntyp = 3
/
ATOMIC_SPECIES
Tl 204.38 Tl.upf
Cr 52.00 Cr.upf
Cl 35.45 Cl.upf
CELL_PARAMETERS angstrom
0.0000 3.4437 3.4437
3.4437 0.0000 3.4437
3.4437 3.4437 0.0000
ATOMIC_POSITIONS crystal
Tl 0.0000 0.0000 0.0000
Cr 0.2500 0.2500 0.2500
Cl 0.5000 0.5000 0.5000
```

***

No. 6
The following is a GGA-PBE calculation of a geometry-optimized TlH3O3 structure, from Alexandria. Values from VASP.

Values from the calculation:
total DFT energy (no corrections) = -66.9 eV for the cell shown
total magnetization = 0.00 μB per atom
theoretical density = 5.25 g cm⁻³

```
&SYSTEM
  ibrav = 0, nat = 14, ntyp = 3
/
ATOMIC_SPECIES
Tl 204.38 Tl.upf
H 1.01 H.upf
O 16.00 O.upf
CELL_PARAMETERS angstrom
3.1360 1.8106 4.7429
-3.1360 1.8106 4.7429
0.0000 -3.6211 4.7429
ATOMIC_POSITIONS crystal
Tl 0.1648 0.1648 0.1648
Tl 0.8352 0.8352 0.8352
H 0.1021 0.1951 0.6339
H 0.1951 0.6339 0.1021
H 0.3661 0.8979 0.8049
H 0.6339 0.1021 0.1951
H 0.8049 0.3661 0.8979
H 0.8979 0.8049 0.3661
O 0.0280 0.5909 0.1696
O 0.1696 0.0280 0.5909
O 0.4091 0.8304 0.9720
O 0.5909 0.1696 0.0280
O 0.8304 0.9720 0.4091
O 0.9720 0.4091 0.8304
```

***

No. 7
The following is a GGA-PBE calculation of a geometry-optimized Li5Er2Pd5 structure, from Alexandria. Values from VASP.

Values from the calculation:
total magnetization = 0.00 μB per atom
DFT formation energy = -5.81 eV per formula unit
theoretical density = 7.42 g cm⁻³

```
&SYSTEM
  ibrav = 0, nat = 12, ntyp = 3
/
ATOMIC_SPECIES
Li 6.94 Li.upf
Er 167.26 Er.upf
Pd 106.42 Pd.upf
CELL_PARAMETERS angstrom
5.4480 -2.1355 0.0000
5.4480 2.1355 0.0000
-3.4243 0.0000 8.6700
ATOMIC_POSITIONS crystal
Li 0.0000 0.0000 0.0000
Li 0.1260 0.1260 0.7717
Li 0.1516 0.1516 0.5062
Li 0.8484 0.8484 0.4938
Li 0.8740 0.8740 0.2283
Er 0.4222 0.4222 0.7527
Er 0.5778 0.5778 0.2473
Pd 0.2464 0.2464 0.2551
Pd 0.3405 0.3405 0.0058
Pd 0.5000 0.5000 0.5000
Pd 0.6595 0.6595 0.9942
Pd 0.7536 0.7536 0.7449
```

***

No. 8
The following is a GGA-PBE calculation of a geometry-optimized Sr4TlHg structure, from Alexandria. Values from VASP.

Values from the calculation:
total magnetization = 0.00 μB per atom
DFT formation energy = 1.68 eV per formula unit
energy above the most stable polymorph in this dataset = 3.742 eV per formula unit
theoretical density = 4.57 g cm⁻³

```
&SYSTEM
  ibrav = 0, nat = 6, ntyp = 3
/
ATOMIC_SPECIES
Sr 87.62 Sr.upf
Tl 204.38 Tl.upf
Hg 200.59 Hg.upf
CELL_PARAMETERS angstrom
0.0000 5.1574 5.1574
5.1574 0.0000 5.1574
5.1574 5.1574 0.0000
ATOMIC_POSITIONS crystal
Sr 0.1247 0.1247 0.1247
Sr 0.1247 0.1247 0.6260
Sr 0.1247 0.6260 0.1247
Sr 0.6260 0.1247 0.1247
Tl 0.7500 0.7500 0.7500
Hg 0.5000 0.5000 0.5000
```

***

Q: total magnetization of number 5 (TlCrCl)?
A: 1.70 μB per atom

***

Q: What is the total magnetization in the sixth record?
A: 0.00 μB per atom